Record 1
ScOs | PBE-GGA | optimized geometry

- E_tot (eV/cell) = -35.60
- energy of formation from the pure elements (eV per atom) = -0.120
- calculated volume (A^3/atom) = 18.198

abc: 2.9125 2.9125 8.5813
angles: 90.00 90.00 90.00
Last column: nearest neighbours and their distance in Å.
Space group P4/nmm (No. 129, origin choice 2)
Symmetry-distinct sites (fractional):
Sc: 0.2500 0.2500 0.1679  4 Os 2.89, 4 Sc 2.91
Os: 0.2500 0.2500 0.5954  8 Os 2.63-2.91, 4 Sc 2.89



Record 2
Ba2CoGe | PBE-GGA | optimized geometry

- E_tot (eV/cell) = -63.87
- energy of formation from the pure elements (eV per atom) = -0.100
- calculated volume (A^3/atom) = 38.309

abc: 11.6229 11.6229 4.5372
angles: 90.00 90.00 90.00
Last column: nearest neighbours and their distance in Å.
Space group I-42d (No. 122)
Symmetry-distinct sites (fractional):
Ba: 0.0622 0.2500 0.1250  2 Co 3.05
Co: 0.0000 0.0000 0.0000  2 Ge 2.27
Ge: 0.0000 0.0000 0.5000  2 Co 2.27



Record 3
NdNpHN2 | PBE-GGA | optimized geometry

- E_tot (eV/cell) = -86.43
- calculated volume (A^3/atom) = 13.606

abc: 3.5122 3.5122 11.0300
angles: 90.00 90.00 90.00
Last column: nearest neighbours and their distance in Å.
Space group P4/nmm (No. 129, origin choice 2)
Symmetry-distinct sites (fractional):
Nd: 0.2500 0.2500 0.1443  4 H 2.37, 4 N 2.58
Np: 0.2500 0.2500 0.6084  1 N 2.03
H: 0.2500 0.7500 0.0000  4 Nd 2.37, 4 H 2.48
N: 0.2500 0.2500 0.3940  5 Np 2.36-2.48
N: 0.2500 0.2500 0.7922  1 Np 2.03



What is the calculated volume in the second record?
38.309 A^3/atom



Copy entry 3 word for word.
NdNpHN2 | PBE-GGA | optimized geometry

- E_tot (eV/cell) = -86.43
- calculated volume (A^3/atom) = 13.606

abc: 3.5122 3.5122 11.0300
angles: 90.00 90.00 90.00
Last column: nearest neighbours and their distance in Å.
Space group P4/nmm (No. 129, origin choice 2)
Symmetry-distinct sites (fractional):
Nd: 0.2500 0.2500 0.1443  4 H 2.37, 4 N 2.58
Np: 0.2500 0.2500 0.6084  1 N 2.03
H: 0.2500 0.7500 0.0000  4 Nd 2.37, 4 H 2.48
N: 0.2500 0.2500 0.3940  5 Np 2.36-2.48
N: 0.2500 0.2500 0.7922  1 Np 2.03



The highest calculated volume belongs to which entry?
Ba2CoGe